A relaxed structure of Sc2PaCuS6. Source: Alexandria, functional PBE.

## Properties
As for the crystal system: trigonal.

Cell lengths 6.5051, 6.5076, 7.1513 Å; angles 62.94, 62.93, 59.99 degrees
Element x y z (fractional)
Sc1 0.0213 0.0214 0.9362
S1 0.2403 0.9147 0.2287
S2 0.7420 0.1182 0.7256
Sc2 0.5133 0.5131 0.4607
S3 0.1181 0.4145 0.7257
S4 0.4143 0.7419 0.7257
Pa1 0.8269 0.8270 0.5193
S5 0.9150 0.6162 0.2289
S6 0.6159 0.2401 0.2290
Cu1 0.2546 0.2545 0.2353


A relaxed structure of Sm2PaCuS5. Source: Alexandria, functional PBE.

## Properties
As for the crystal system: orthorhombic.

Cell lengths 3.8121, 8.4858, 12.0161 Å; angles 90.00, 90.00, 102.98 degrees
Last column: magnetic moment on the atom in μB.
Element x y z (fractional)
S1 0.3155 0.6311 0.3601  -0.02
S2 0.3027 0.6055 0.6915  -0.02
Cu1 0.4502 0.9005 0.4204  0.00
Sm1 0.8840 0.7680 0.1941  0.01
S3 0.5062 0.0124 0.2494  0.00
S4 0.6845 0.3689 0.8601  -0.02
S5 0.9815 0.9630 0.5167  -0.01
Sm2 0.1160 0.2320 0.6941  0.01
Cu2 0.5498 0.0995 0.9204  0.00
S6 0.0185 0.0370 0.0167  -0.01
Sm3 0.8864 0.7729 0.8454  0.02
Pa1 0.1809 0.3618 0.0265  0.92
S7 0.4938 0.9876 0.7494  0.00
S8 0.6973 0.3945 0.1915  -0.02
S9 0.3455 0.6910 0.0198  -0.01
Pa2 0.8191 0.6382 0.5265  0.92
Sm4 0.1136 0.2271 0.3454  0.02
S10 0.6545 0.3090 0.5198  -0.01


A relaxed structure of Pa2CuSnS8. Source: Alexandria, functional PBE.

## Properties
As for the crystal system: trigonal.

Cell lengths 5.8630, 5.8630, 8.2592 Å; angles 90.00, 90.00, 120.00 degrees
Element x y z (fractional)
Sn1 0.0000 0.0000 0.5000
S1 0.8245 0.1755 0.8271
Cu1 0.0000 0.0000 0.0000
S2 0.1755 0.8245 0.1729
S3 0.3333 0.6667 0.5680
S4 0.8245 0.6490 0.8271
S5 0.6667 0.3333 0.4320
S6 0.3510 0.1755 0.8271
S7 0.6490 0.8245 0.1729
Pa1 0.6667 0.3333 0.1326
S8 0.1755 0.3510 0.1729
Pa2 0.3333 0.6667 0.8674


A relaxed structure of PaCuSnS4. Source: Alexandria, functional PBE.

## Properties
As for the crystal system: monoclinic.

Cell lengths 6.3927, 6.2048, 8.0791 Å; angles 90.00, 108.02, 90.00 degrees
Last column: magnetic moment on the atom in μB.
Element x y z (fractional)
Cu1 0.7673 0.2500 0.6656  0.01
Cu2 0.2327 0.7500 0.3344  0.01
S1 0.5687 0.2500 0.8621  0.00
S2 0.5405 0.2500 0.3906  0.01
S3 0.9731 0.0117 0.2807  0.01
S4 0.0269 0.5117 0.7193  0.01
Pa1 0.2308 0.2500 0.5493  -0.13
Sn1 0.7148 0.7500 0.9551  0.00
S5 0.4595 0.7500 0.6094  0.01
S6 0.4313 0.7500 0.1379  0.00
Sn2 0.2852 0.2500 0.0449  0.00
S7 0.9731 0.4883 0.2807  0.01
Pa2 0.7692 0.7500 0.4507  -0.13
S8 0.0269 0.9883 0.7193  0.01


A relaxed structure of PaCuSn2S5. Source: Alexandria, functional PBE.

## Properties
As for the crystal system: orthorhombic.

Cell lengths 3.9944, 9.6170, 12.2022 Å; angles 90.00, 90.00, 101.99 degrees
Last column: magnetic moment on the atom in μB.
Element x y z (fractional)
Sn1 0.1379 0.2759 0.6622  0.00
S1 0.9384 0.8767 0.5480  0.00
S2 0.3061 0.6123 0.3870  0.00
S3 0.3433 0.6867 0.0169  0.00
S4 0.5179 0.0358 0.7813  0.00
Sn2 0.0727 0.1454 0.2780  0.00
Sn3 0.9273 0.8546 0.7780  0.00
S5 0.4821 0.9642 0.2813  0.00
S6 0.6939 0.3877 0.8870  0.00
S7 0.6567 0.3133 0.5169  0.00
Cu1 0.5762 0.1525 0.9482  0.00
S8 0.2832 0.5663 0.6740  0.00
Pa1 0.2010 0.4021 0.0284  -0.06
S9 0.0616 0.1233 0.0480  0.00
Sn4 0.8621 0.7241 0.1622  0.00
Cu2 0.4238 0.8475 0.4482  0.00
S10 0.7168 0.4337 0.1740  0.00
Pa2 0.7990 0.5979 0.5284  -0.06


A relaxed structure of SrPa2CuS8. Source: Alexandria, functional PBE.

## Properties
As for the crystal system: trigonal.

Cell lengths 5.9013, 5.9013, 8.3422 Å; angles 90.00, 90.00, 120.00 degrees
Element x y z (fractional)
Cu1 0.0000 0.0000 0.0000
S1 0.1760 0.3521 0.1692
Pa1 0.6667 0.3333 0.1297
S2 0.3521 0.1760 0.8308
S3 0.3333 0.6667 0.5748
S4 0.8240 0.1760 0.8308
S5 0.8240 0.6479 0.8308
S6 0.1760 0.8240 0.1692
S7 0.6479 0.8240 0.1692
Pa2 0.3333 0.6667 0.8703
S8 0.6667 0.3333 0.4252
Sr1 0.0000 0.0000 0.5000


A relaxed structure of Sr2PaCuS5. Source: Alexandria, functional PBE.

## Properties
As for the crystal system: orthorhombic.

Cell lengths 4.0566, 8.7787, 12.5471 Å; angles 90.00, 90.00, 103.36 degrees
Element x y z (fractional)
Cu1 0.5678 0.1357 0.9284
S1 0.7005 0.4009 0.8785
Pa1 0.8016 0.6033 0.5219
S2 0.2943 0.5886 0.6652
S3 0.5000 0.0001 0.2713
S4 0.3520 0.7041 0.0137
Cu2 0.4322 0.8643 0.4284
Sr1 0.8886 0.7773 0.8371
S5 0.9514 0.9028 0.5230
S6 0.7057 0.4114 0.1652
S7 0.5000 0.9999 0.7713
S8 0.6480 0.2959 0.5137
Sr2 0.1046 0.2091 0.6848
Sr3 0.8954 0.7909 0.1848
Sr4 0.1114 0.2227 0.3371
S9 0.2995 0.5991 0.3785
S10 0.0486 0.0972 0.0230
Pa2 0.1984 0.3967 0.0219


A relaxed structure of Sr2PaCu2S6. Source: Alexandria, functional PBE.

## Properties
As for the crystal system: monoclinic.

Cell lengths 6.8659, 7.0497, 7.4297 Å; angles 115.96, 90.00, 119.14 degrees
Element x y z (fractional)
S1 0.2648 0.5296 0.4017
S2 0.8181 0.1349 0.8118
Pa1 0.5000 0.0000 0.5000
S3 0.6832 0.8651 0.1882
S4 0.7352 0.4704 0.5983
Cu1 0.0607 0.1214 0.2473
S5 0.3168 0.1349 0.8118
Cu2 0.9393 0.8786 0.7527
Sr1 0.2751 0.5501 0.8112
Sr2 0.7249 0.4499 0.1888
S6 0.1819 0.8651 0.1882


A relaxed structure of PaTaCu2S6. Source: Alexandria, functional PBE.

## Properties
As for the crystal system: triclinic.

Cell lengths 6.3231, 6.4612, 7.8589 Å; angles 98.64, 114.54, 123.76 degrees
Element x y z (fractional)
S1 0.8197 0.5987 0.6897
Cu1 0.4394 0.2293 0.6961
S2 0.1434 0.4034 0.2607
Ta1 0.9527 0.5086 0.4463
S3 0.0702 0.2422 0.6446
S4 0.4451 0.0340 0.2157
S5 0.5141 0.9405 0.7472
S6 0.7619 0.6379 0.1928
Pa1 0.1314 0.1433 0.9675
Cu2 0.6877 0.7397 0.4420


A relaxed structure of Tb2PaCuS6. Source: Alexandria, functional PBE.

## Properties
As for the crystal system: tetragonal.

Cell lengths 6.2026, 6.3773, 6.3773 Å; angles 90.00, 90.00, 90.00 degrees
Element x y z (fractional)
S1 0.7422 0.2363 0.2363
Cu1 0.5417 0.0000 0.0000
S2 0.1664 0.5000 0.5000
S3 0.7422 0.7637 0.2363
S4 0.7422 0.2363 0.7637
Tb1 0.9936 0.5000 0.0000
Tb2 0.9936 0.0000 0.5000
Pa1 0.5982 0.5000 0.5000
S5 0.1846 0.0000 0.0000
S6 0.7422 0.7637 0.7637


A relaxed structure of Tb2PaCuS5. Source: Alexandria, functional PBE.

## Properties
As for the crystal system: orthorhombic.

Cell lengths 3.7600, 8.4729, 11.8572 Å; angles 90.00, 90.00, 102.82 degrees
Last column: magnetic moment on the atom in μB.
Element x y z (fractional)
Tb1 0.8847 0.7693 0.1931  0.01
S1 0.6820 0.3640 0.8564  -0.02
S2 0.3180 0.6360 0.3564  -0.02
S3 0.3036 0.6072 0.6960  -0.02
S4 0.4938 0.9877 0.7474  0.00
S5 0.5062 0.0123 0.2474  0.00
Cu1 0.5492 0.0984 0.9204  0.00
Tb2 0.1099 0.2198 0.3463  0.03
Cu2 0.4508 0.9016 0.4204  0.00
S6 0.3455 0.6909 0.0192  -0.01
S7 0.6964 0.3928 0.1960  -0.02
Tb3 0.8901 0.7802 0.8463  0.03
S8 0.6545 0.3091 0.5192  -0.01
S9 0.0166 0.0332 0.0182  -0.01
Pa1 0.8198 0.6396 0.5269  0.93
S10 0.9834 0.9668 0.5182  -0.01
Tb4 0.1153 0.2307 0.6931  0.01
Pa2 0.1802 0.3604 0.0269  0.93


A relaxed structure of PaTlCuS4. Source: Alexandria, functional PBE.

## Properties
As for the crystal system: monoclinic.

Cell lengths 6.7514, 5.4819, 9.1601 Å; angles 90.00, 107.15, 90.00 degrees
Element x y z (fractional)
S1 0.4605 0.7500 0.1730
Pa1 0.2669 0.2500 0.5570
S2 0.9825 0.0146 0.3042
S3 0.9825 0.4854 0.3042
Tl1 0.7363 0.7500 0.9529
Tl2 0.2637 0.2500 0.0471
S4 0.0175 0.9854 0.6958
Cu1 0.2494 0.7500 0.3248
S5 0.5395 0.2500 0.8270
S6 0.4257 0.7500 0.5802
S7 0.5743 0.2500 0.4198
Pa2 0.7331 0.7500 0.4430
Cu2 0.7506 0.2500 0.6752
S8 0.0175 0.5146 0.6958


A relaxed structure of PaTl3Cu2S6. Source: Alexandria, functional PBE.

## Properties
As for the crystal system: monoclinic.

Cell lengths 8.1122, 8.1122, 6.9757 Å; angles 97.76, 97.76, 135.23 degrees
Element x y z (fractional)
S1 0.7895 0.7895 0.2633
Tl1 0.1811 0.8189 0.5000
S2 0.1665 0.4257 0.2057
S3 0.8335 0.5743 0.7943
Cu1 0.4129 0.5871 0.0000
Cu2 0.5871 0.4129 0.0000
Pa1 0.0000 0.0000 0.0000
S4 0.5743 0.8335 0.7943
S5 0.4257 0.1665 0.2057
S6 0.2105 0.2105 0.7367
Tl2 0.5000 0.5000 0.5000
Tl3 0.8189 0.1811 0.5000


A relaxed structure of Pa2Tl2CuS6. Source: Alexandria, functional PBE.

## Properties
As for the crystal system: monoclinic.

Cell lengths 7.2487, 7.2487, 7.7125 Å; angles 95.99, 95.99, 125.60 degrees
Last column: magnetic moment on the atom in μB.
Element x y z (fractional)
S1 0.9535 0.5476 0.2866  -0.02
Tl1 0.8557 0.1443 0.0000  0.00
S2 0.7511 0.7511 0.6499  -0.01
Cu1 0.0000 0.0000 0.5000  -0.01
S3 0.4524 0.0465 0.7134  -0.02
S4 0.2489 0.2489 0.3501  -0.01
S5 0.0465 0.4524 0.7134  -0.02
Tl2 0.1443 0.8557 0.0000  0.00
Pa1 0.6621 0.3379 0.5000  0.55
S6 0.5476 0.9535 0.2866  -0.02
Pa2 0.3379 0.6621 0.5000  0.55


A relaxed structure of Pa2TlCuS6. Source: Alexandria, functional PBE.

## Properties
As for the crystal system: monoclinic.

Cell lengths 7.7460, 9.5150, 9.5150 Å; angles 100.21, 75.16, 75.16 degrees
Element x y z (fractional)
S1 0.0256 0.6559 0.1558
S2 0.4744 0.8442 0.3441
S3 0.7021 0.7788 0.9385
Tl1 0.7500 0.0971 0.9029
S4 0.7979 0.0615 0.2212
S5 0.9773 0.3199 0.4605
S6 0.5227 0.5395 0.6801
Cu1 0.2500 0.1709 0.8291
Pa1 0.3478 0.7327 0.5433
Cu2 0.7500 0.8291 0.1709
S7 0.5256 0.1558 0.6559
S8 0.9744 0.3441 0.8442
Pa2 0.8478 0.5433 0.7327
Pa3 0.1522 0.4567 0.2673
S9 0.0227 0.6801 0.5395
S10 0.2021 0.9385 0.7788
Tl2 0.2500 0.9029 0.0971
S11 0.4773 0.4605 0.3199
Pa4 0.6522 0.2673 0.4567
S12 0.2979 0.2212 0.0615


A relaxed structure of PaTl2Cu2S4. Source: Alexandria, functional PBE.

## Properties
As for the crystal system: monoclinic.

Cell lengths 3.9165, 7.8237, 7.4138 Å; angles 107.37, 105.32, 90.00 degrees
Last column: magnetic moment on the atom in μB.
Element x y z (fractional)
S1 0.1970 0.1664 0.3939  -0.01
Tl1 0.1401 0.5701 0.2802  0.01
S2 0.8030 0.8336 0.6061  -0.01
S3 0.5254 0.7740 0.0508  -0.02
Pa1 0.0000 0.0000 0.0000  0.80
Cu1 0.3192 0.0136 0.6383  -0.01
Tl2 0.8599 0.4299 0.7198  0.01
S4 0.4746 0.2260 0.9492  -0.02
Cu2 0.6808 0.9864 0.3617  -0.01


A relaxed structure of Tm2PaCuS6. Source: Alexandria, functional PBE.

## Properties
As for the crystal system: tetragonal.

Cell lengths 6.2505, 6.3195, 6.3195 Å; angles 90.00, 90.00, 90.00 degrees
Element x y z (fractional)
S1 0.7469 0.7635 0.7635
Tm1 0.9859 0.0000 0.5000
S2 0.1673 0.5000 0.5000
S3 0.7469 0.7635 0.2364
S4 0.1863 0.0000 0.0000
Tm2 0.9859 0.5000 0.0000
S5 0.7469 0.2364 0.2364
Cu1 0.5404 0.0000 0.0000
S6 0.7469 0.2364 0.7635
Pa1 0.5932 0.5000 0.5000


A relaxed structure of Y2PaCuS6. Source: Alexandria, functional PBE.

## Properties
As for the crystal system: tetragonal.

Cell lengths 6.1955, 6.3854, 6.3854 Å; angles 90.00, 90.00, 90.00 degrees
Element x y z (fractional)
S1 0.1853 0.0000 0.0000
Pa1 0.5992 0.5000 0.5000
Y1 0.9916 0.0000 0.5000
S2 0.7423 0.2362 0.7638
Cu1 0.5424 0.0000 0.0000
S3 0.7423 0.7638 0.7638
S4 0.7423 0.7638 0.2362
S5 0.7423 0.2362 0.2362
Y2 0.9916 0.5000 0.0000
S6 0.1673 0.5000 0.5000


A relaxed structure of ZrPaCuS6. Source: Alexandria, functional PBE.

## Properties
As for the crystal system: trigonal.

Cell lengths 6.1060, 6.1954, 6.1954 Å; angles 120.00, 90.00, 90.00 degrees
Element x y z (fractional)
Pa1 0.0000 0.3333 0.6667
S1 0.7359 0.3205 0.9999
S2 0.2641 0.6794 0.9999
S3 0.7359 0.6794 0.6795
S4 0.2641 0.3205 0.3206
S5 0.2641 0.0001 0.6795
S6 0.7359 0.0001 0.3206
Zr1 0.5000 0.6667 0.3333
Cu1 0.5000 0.0000 0.0000


A relaxed structure of PaCu2Sb. Source: Alexandria, functional PBE.

## Properties
As for the crystal system: trigonal.

Cell lengths 3.0349, 3.0349, 10.5049 Å; angles 81.69, 81.69, 60.00 degrees
Last column: magnetic moment on the atom in μB.
Element x y z (fractional)
Sb1 0.5000 0.5000 0.5000  0.00
Cu1 0.9072 0.9072 0.2783  0.00
Cu2 0.0928 0.0928 0.7217  0.00
Pa1 0.0000 0.0000 0.0000  0.52


| no. | magnetic moment (μB per cell) | theoretical density (g cm⁻³) | uncorrected energy (eV/cell) |
| --- | --- | --- | --- |
| 1 | 0.000 | 4.29 | -65.628 |
| 2 | 2.184 | 6.63 | -116.151 |
| 3 | 0.000 | 6.08 | -68.537 |
| 4 | 0.223 | 5.90 | -80.739 |
| 5 | 0.116 | 5.01 | -99.707 |
| 6 | 0.000 | 5.74 | -70.511 |
| 7 | 0.000 | 4.81 | -104.442 |
| 8 | 0.000 | 4.43 | -59.775 |
| 9 | 0.000 | 5.79 | -62.694 |
| 10 | 0.000 | 5.30 | -60.061 |
| 11 | 2.188 | 6.97 | -115.340 |
| 12 | 0.000 | 6.43 | -78.051 |
| 13 | 0.000 | 6.39 | -56.972 |
| 14 | 1.091 | 5.83 | -64.289 |
| 15 | 0.000 | 4.84 | -119.234 |
| 16 | 0.966 | 7.13 | -46.005 |
| 17 | 0.000 | 5.49 | -59.146 |
| 18 | 0.000 | 4.37 | -63.615 |
| 19 | 0.009 | 4.73 | -54.795 |
| 20 | 0.588 | 9.64 | -19.462 |